Record 1
The following is a PBE-GGA calculation of an optimized crystal structure of InBi3Sb, from Alexandria.

Unit cell a=5.894 b=5.894 c=5.894 alpha=90.00 beta=90.00 gamma=90.00
Positions (direct):
In  0.000  0.000  0.000
Bi  0.000  0.500  0.500
Bi  0.500  0.000  0.500
Bi  0.500  0.500  0.000
Sb  0.500  0.500  0.500

Values from the calculation:
Mass density: 7.00 g cm⁻³
Energy relative to the elements, uncorrected: 0.607 eV per atom
Excess energy over the best structure of this formula in the dataset: 0.000 eV per atom
Total magnetic moment: 0.0 Bohr magnetons per cell
Fermi-level density of states: 6.57 states/eV per cell
Final energy: -3.0942 eV/atom

***

Record 2
The following is a PBE-GGA calculation of an optimized crystal structure of TeRhW, from Alexandria.

Unit cell a=4.364 b=4.364 c=4.364 alpha=60.00 beta=60.00 gamma=60.00
Positions (direct):
Te  0.000  0.000  0.000
Rh  0.250  0.250  0.250
W  0.750  0.750  0.750

Values from the calculation:
Mass density: 11.71 g cm⁻³
Energy relative to the elements, uncorrected: 0.680 eV per atom
Excess energy over the best structure of this formula in the dataset: 0.329 eV per atom
Total magnetic moment: 0.0 Bohr magnetons per cell
Fermi-level density of states: 3.27 states/eV per cell
Final energy: -7.1350 eV/atom

***

Record 3
The following is a PBE-GGA calculation of an optimized crystal structure of Na2AlOs2, from Alexandria.

Unit cell a=10.540 b=10.540 c=10.540 alpha=161.14 beta=161.14 gamma=26.80
Positions (direct):
Na  0.119  0.119  0.000
Na  0.881  0.881  0.000
Al  0.500  0.500  0.000
Os  0.250  0.750  0.500
Os  0.750  0.250  0.500

Values from the calculation:
Mass density: 6.16 g cm⁻³
ΔH_f (0 K): 79.4 kJ per mole of atoms
Excess energy over the best structure of this formula in the dataset: 0.000 eV per atom
Total magnetic moment: 0.0 Bohr magnetons per cell
Fermi-level density of states: 3.72 states/eV per cell
Final energy: -4.9450 eV/atom